Entry from Alexandria: crystalline Li2PrNd2Sn2 at its relaxed geometry (PBE-GGA).

Summary:
- theoretical density (Mg/m³) = 5.9
- energy of formation (kJ/mol of formula units) = -324

abc: 4.8604 4.8604 27.8878
angles: 90.00 90.00 120.00
Space group R-3m (No. 166, hexagonal axes)
Symmetry-distinct sites (fractional):
Li: 0.0000 0.0000 0.0963 [6 per cell]
Pr: 0.0000 0.0000 0.5000 [3 per cell]
Nd: 0.0000 0.0000 0.3703 [6 per cell]
Sn: 0.0000 0.0000 0.2370 [6 per cell]